Entry 1:
Density functional theory data (PBE-GGA) for crystalline Y2CrAgC at its relaxed geometry.

Results
E ... -7.151 eV per atom
Energy of formation ... -0.226 eV per atom
V ... 98 Å³ per cell

abc: 5.031 5.031 3.882
angles: 90.00 90.00 90.00
Positions (direct):
Y (0.000, 0.500, 0.000)
Y (0.500, 0.000, 0.000)
Cr (0.000, 0.000, 0.500)
Ag (0.500, 0.500, 0.500)
C (0.000, 0.000, 0.000)

---

Entry 2:
Density functional theory data (PBE-GGA) for crystalline BeRhBr2 at its relaxed geometry.

Results
E ... -3.447 eV per atom
Energy above the lowest structure with this stoichiometry ... 2.25 eV per formula unit
V ... 75 Å³ per cell

abc: 7.880 7.880 7.880
angles: 24.65 24.65 24.65
Positions (direct):
Be (0.000, 0.000, 0.000)
Rh (0.500, 0.500, 0.500)
Br (0.394, 0.394, 0.394)
Br (0.606, 0.606, 0.606)

---

Entry 3:
Density functional theory data (PBE-GGA) for crystalline CsIn2Br8 at its relaxed geometry.

Results
E ... -2.660 eV per atom
Energy above the lowest structure with this stoichiometry ... 0.00 eV per formula unit
V ... 472 Å³ per cell

abc: 8.430 8.430 9.717
angles: 109.94 109.94 47.41
Positions (direct):
Cs (0.000, 0.000, 0.000)
In (0.212, 0.212, 0.671)
In (0.788, 0.788, 0.329)
Br (0.149, 0.620, 0.257)
Br (0.188, 0.188, 0.400)
Br (0.380, 0.851, 0.743)
Br (0.381, 0.381, 0.847)
Br (0.619, 0.619, 0.153)
Br (0.620, 0.149, 0.257)
Br (0.812, 0.812, 0.600)
Br (0.851, 0.380, 0.743)

---

Entry 4:
Density functional theory data (PBE-GGA) for crystalline Zn3GeIr at its relaxed geometry.

Results
E ... -3.485 eV per atom
Energy above the lowest structure with this stoichiometry ... 0.00 eV per formula unit
Energy of formation ... -0.025 eV per atom
V ... 359 Å³ per cell

abc: 8.050 8.050 5.788
angles: 100.02 100.02 97.20
Positions (direct):
Zn (0.078, 0.628, 0.378)
Zn (0.127, 0.140, 0.051)
Zn (0.140, 0.127, 0.551)
Zn (0.352, 0.357, 0.421)
Zn (0.357, 0.352, 0.921)
Zn (0.372, 0.922, 0.122)
Zn (0.628, 0.078, 0.878)
Zn (0.643, 0.648, 0.079)
Zn (0.648, 0.643, 0.579)
Zn (0.860, 0.873, 0.449)
Zn (0.873, 0.860, 0.949)
Zn (0.922, 0.372, 0.622)
Ge (0.133, 0.604, 0.922)
Ge (0.396, 0.867, 0.578)
Ge (0.604, 0.133, 0.422)
Ge (0.867, 0.396, 0.078)
Ir (0.137, 0.863, 0.750)
Ir (0.375, 0.625, 0.250)
Ir (0.625, 0.375, 0.750)
Ir (0.863, 0.137, 0.250)

---

Entry 5:
Density functional theory data (PBE-GGA) for crystalline NdGdZnCu at its relaxed geometry.

Results
E ... -6.295 eV per atom
Energy of formation ... -0.240 eV per atom
V ... 94 Å³ per cell

abc: 5.095 5.095 5.095
angles: 60.00 60.00 60.00
Positions (direct):
Nd (0.000, 0.000, 0.000)
Gd (0.500, 0.500, 0.500)
Zn (0.250, 0.250, 0.250)
Cu (0.750, 0.750, 0.750)

---

Entry 6:
Density functional theory data (PBE-GGA) for crystalline CsZnPb2 at its relaxed geometry.

Results
E ... -2.405 eV per atom
Energy of formation ... -0.019 eV per atom
V ... 157 Å³ per cell

abc: 8.256 8.256 8.256
angles: 34.01 34.01 34.01
Positions (direct):
Cs (0.000, 0.000, 0.000)
Zn (0.821, 0.821, 0.821)
Pb (0.204, 0.204, 0.204)
Pb (0.454, 0.454, 0.454)

---

Entry 7:
Density functional theory data (PBE-GGA) for crystalline La2NdAl at its relaxed geometry.

Results
E ... -4.613 eV per atom
Energy above the lowest structure with this stoichiometry ... 0.68 eV per formula unit
Energy of formation ... -0.022 eV per atom
V ... 121 Å³ per cell

abc: 5.555 5.555 5.555
angles: 60.00 60.00 60.00
Positions (direct):
La (0.000, 0.000, 0.000)
La (0.250, 0.250, 0.250)
Nd (0.750, 0.750, 0.750)
Al (0.500, 0.500, 0.500)

---

Entry 8:
Density functional theory data (PBE-GGA) for crystalline Sm2GdGe at its relaxed geometry.

Results
E ... -7.385 eV per atom
Energy above the lowest structure with this stoichiometry ... 0.00 eV per formula unit
Energy of formation ... -0.351 eV per atom
V ... 107 Å³ per cell

abc: 4.763 4.763 4.711
angles: 90.00 90.00 90.00
Positions (direct):
Sm (0.000, 0.500, 0.000)
Sm (0.500, 0.000, 0.000)
Gd (0.000, 0.000, 0.500)
Ge (0.500, 0.500, 0.500)